SrMgW2 | PBE | optimized geometry

Geometry as POSCAR:
```
SrMgW2
1.0
5.321 0.000 0.000
0.000 2.824 -0.049
0.000 0.802 5.389
Mg Sr W
1 1 2
Cartesian
2.661 0.907 1.335
2.661 2.720 4.005
0.000 1.001 5.384
0.000 1.615 2.675
```

Values from the calculation:
Magnetic moment, μB per cell: 0.0
ΔE_f, eV/atom: 1.052
SG: P2/m
Raw total energy, eV per cell: -25.0
DOS at the Fermi energy, states/eV/cell: 4.0


Nb2Ru3Pt | PBE | optimized geometry

Geometry as POSCAR:
```
Nb2Ru3Pt
1.0
4.546 0.020 1.762
1.219 4.380 1.762
-0.045 -0.035 9.366
Nb Pt Ru
4 2 6
Cartesian
2.295 0.885 2.064
3.425 3.481 10.826
1.436 1.963 6.747
4.284 2.402 6.144
1.600 3.810 8.787
4.120 0.555 4.104
5.248 3.140 3.636
2.456 2.735 4.104
0.472 1.226 9.254
3.264 1.630 8.787
1.329 0.149 4.571
4.391 4.216 8.319
```

Values from the calculation:
Magnetic moment, μB per cell: 0.0
ΔE_f, eV/atom: -0.217
SG: C2/c
Raw total energy, eV per cell: -110.6
DOS at the Fermi energy, states/eV/cell: 13.0


Pb2SeBr2 | PBE | optimized geometry

Geometry as POSCAR:
```
Pb2SeBr2
1.0
0.670 0.648 7.623
-3.971 -7.657 1.000
9.881 -4.718 3.117
Br Pb Se
8 8 4
Cartesian
-2.200 -5.540 7.673
6.326 -3.777 6.012
-2.295 -5.400 3.801
8.780 -6.186 4.066
8.875 -6.326 7.939
5.039 -5.937 2.440
0.253 -7.949 5.728
1.541 -5.789 9.300
2.812 -7.054 4.209
6.389 -8.215 8.845
2.147 -8.658 8.272
1.597 -1.121 6.436
4.983 -10.605 5.304
0.191 -3.511 2.894
3.768 -4.672 7.531
4.433 -3.068 3.467
2.166 -3.911 5.129
3.304 -2.039 8.739
4.414 -7.816 6.610
3.276 -9.688 3.001
```

Values from the calculation:
Magnetic moment, μB per cell: 0.0
SG: P2_1/c
Formation energy from raw total energies, eV/atom: -0.728
Raw total energy, eV per cell: -71.5
DOS at the Fermi energy, states/eV/cell: 0.0


MgNi3H | PBE | optimized geometry

Geometry as POSCAR:
```
MgNi3H
1.0
-4.679 0.721 -2.005
0.912 -4.276 2.941
-2.054 -0.306 4.714
H Mg Ni
2 2 6
Cartesian
-2.265 -2.725 2.981
-3.292 -2.879 5.337
-3.389 -0.439 -0.182
-2.053 -0.734 3.202
-1.036 -0.671 0.835
-2.935 -2.471 1.340
-4.406 -0.503 2.185
-0.602 -2.830 2.338
-1.595 -2.979 4.621
-3.928 -2.619 3.622
```

Values from the calculation:
Magnetic moment, μB per cell: 1.1
SG: C2/m
Raw total energy, eV per cell: -45.9
DOS at the Fermi energy, states/eV/cell: 9.3